(1)
First-principles (GGA-PBE) data for an optimized crystal structure of ErHfIn, as listed in Alexandria.

The space group is P3m1 (No. 156) and the conventional cell measures 5.1906, 5.1906 and 3.0836 Å, with angles of 90.00, 90.00 and 120.00 degrees. The distinct sites, in fractional coordinates, are Er at (0.0000, 0.0000, 0.0000), Hf at (0.6667, 0.3333, 0.9945) and In at (0.3333, 0.6667, 0.4976).

As for the crystal system: trigonal. The value obtained for the formation energy is 137.2 meV per atom. Its magnetic moment is 0.0 μB per formula unit.

---

(2)
First-principles (GGA-PBE) data for an optimized crystal structure of LiZrAlTc, as listed in Alexandria.

The space group is F-43m (No. 216) and the conventional cell measures 6.382, 6.382 and 6.382 Å, with angles of 90.00, 90.00 and 90.00 degrees. The distinct sites, in fractional coordinates, are Li at (0.000, 0.000, 0.000), Zr at (0.250, 0.250, 0.250), Al at (0.250, 0.250, 0.750) and Tc at (0.000, 0.000, 0.500).

As for the crystal system: cubic. The value obtained for the formation energy is -189.9 meV per atom. Its magnetic moment is 0.0 μB per formula unit.

---

(3)
First-principles (GGA-PBE) data for an optimized crystal structure of CaPr3Au4, as listed in Alexandria.

The space group is Im-3m (No. 229) and the conventional cell measures 7.440, 7.440 and 7.440 Å, with angles of 90.00, 90.00 and 90.00 degrees. The distinct sites, in fractional coordinates, are Ca at (0.000, 0.000, 0.000), Pr at (0.000, 0.000, 0.500) and Au at (0.250, 0.250, 0.250).

As for the crystal system: cubic. The value obtained for the formation energy is -759.9 meV per atom. Its magnetic moment is 0.0 μB per formula unit.

---

(4)
First-principles (GGA-PBE) data for an optimized crystal structure of Mg6Cd12Ag, as listed in Alexandria.

The space group is R-3 (No. 148, hexagonal axes) and the conventional cell measures 10.8051, 10.8051 and 12.3780 Å, with angles of 90.00, 90.00 and 120.00 degrees. The distinct sites, in fractional coordinates, are Mg at (0.0287, 0.4380, 0.2081), Cd at (0.0447, 0.1867, 0.3124), Cd at (0.0622, 0.8520, 0.9096) and Ag at (0.0000, 0.0000, 0.5000).

As for the crystal system: trigonal. The value obtained for the formation energy is -70.0 meV per atom. Its magnetic moment is 0.0 μB per formula unit.

---

(5)
First-principles (GGA-PBE) data for an optimized crystal structure of LiH2Rh, as listed in Alexandria.

The space group is P4/mmm (No. 123) and the conventional cell measures 2.712, 2.712 and 4.843 Å, with angles of 90.00, 90.00 and 90.00 degrees. The distinct sites, in fractional coordinates, are Li at (0.000, 0.000, 0.000), H at (0.500, 0.500, 0.344) and Rh at (0.000, 0.000, 0.500).

As for the crystal system: tetragonal. The energy is -3.879 eV/atom. Its magnetic moment is 0.0 μB per formula unit.

---

(6)
First-principles (GGA-PBE) data for an optimized crystal structure of Tl2InRu, as listed in Alexandria.

The space group is Imm2 (No. 44) and the conventional cell measures 3.121, 4.644 and 13.568 Å, with angles of 90.00, 90.00 and 90.00 degrees. The distinct sites, in fractional coordinates, are Tl at (0.000, 0.000, 0.000), Tl at (0.000, 0.500, 0.183), In at (0.000, 0.500, 0.824) and Ru at (0.000, 0.000, 0.494).

As for the crystal system: orthorhombic. The value obtained for the formation energy is 261.7 meV per atom. Its magnetic moment is 0.0 μB per formula unit.

---

(7)
First-principles (GGA-PBE) data for an optimized crystal structure of Pu2Th2In3, as listed in Alexandria.

The space group is Cmmm (No. 65) and the conventional cell measures 4.853, 23.151 and 3.407 Å, with angles of 90.00, 90.00 and 90.00 degrees. The distinct sites, in fractional coordinates, are Pu at (0.000, 0.214, 0.000), Th at (0.000, 0.076, 0.000), In at (0.000, 0.347, 0.500) and In at (0.000, 0.500, 0.500).

As for the crystal system: orthorhombic. The value obtained for the formation energy is -145.7 meV per atom. Its magnetic moment is 12.1 μB per formula unit.

---

(8)
First-principles (GGA-PBE) data for an optimized crystal structure of Sc6Pt5Au, as listed in Alexandria.

The space group is C2/m (No. 12) and the conventional cell measures 14.916, 6.505 and 4.743 Å, with angles of 90.00, 107.78 and 90.00 degrees. The distinct sites, in fractional coordinates, are Sc at (0.000, 0.244, 0.000), Sc at (0.169, 0.247, 0.670), Pt at (0.000, 0.000, 0.500), Pt at (0.165, 0.500, 0.166), Pt at (0.168, 0.000, 0.171) and Au at (0.000, 0.500, 0.500).

As for the crystal system: monoclinic. The value obtained for the formation energy is -1162.0 meV per atom. Its magnetic moment is 0.0 μB per formula unit.

---

(9)
First-principles (GGA-PBE) data for an optimized crystal structure of Mg6Pt, as listed in Alexandria.

The space group is Cmcm (No. 63) and the conventional cell measures 8.408, 7.252 and 9.540 Å, with angles of 90.00, 90.00 and 90.00 degrees. The distinct sites, in fractional coordinates, are Mg at (0.000, 0.156, 0.093), Mg at (0.172, 0.500, 0.000), Mg at (0.184, 0.209, 0.750) and Pt at (0.000, 0.465, 0.250).

As for the crystal system: orthorhombic. The value obtained for the formation energy is -340.8 meV per atom. Its magnetic moment is 0.0 μB per formula unit.

---

(10)
First-principles (GGA-PBE) data for an optimized crystal structure of AlAu, as listed in Alexandria.

The space group is P2_1/m (No. 11) and the conventional cell measures 3.235, 4.798 and 4.932 Å, with angles of 90.00, 106.31 and 90.00 degrees. The distinct sites, in fractional coordinates, are Al at (0.212, 0.250, 0.391) and Au at (0.101, 0.750, 0.174).

As for the crystal system: monoclinic. The value obtained for the formation energy is -359.9 meV per atom. Its magnetic moment is 0.0 μB per formula unit.

---

> magnetic moment of number 6 (Tl2InRu)?

0.0 μB per formula unit